Cs: relaxed, GGA-PBEsol.

Cell lengths 7.5726, 10.6716, 10.6716 Å; angles 90.00, 90.00, 90.00 degrees
Positions (direct):
Cs 0.0000 0.2503 0.9953
Cs 0.5000 0.9953 0.7497
Cs 0.5000 0.5047 0.2497
Cs 0.0000 0.7497 0.0047
Cs 0.0000 0.2497 0.4953
Cs 0.0000 0.7503 0.5047
Cs 0.5000 0.4953 0.7503
Cs 0.5000 0.0047 0.2503

Results
formation energy: 0.3 meV/atom

***

Mg3TlP: relaxed, GGA-PBEsol.

Cell lengths 5.1671, 5.1671, 5.1671 Å; angles 90.00, 90.00, 90.00 degrees
Positions (direct):
Mg 0.0000 0.0000 0.5000
Mg 0.5000 0.0000 0.0000
Mg 0.0000 0.5000 0.0000
Tl 0.0000 0.0000 0.0000
P 0.5000 0.5000 0.5000

Results
formation energy: 594.8 meV/atom

***

Mg5Zn4: relaxed, GGA-PBEsol.

Cell lengths 5.7164, 8.1414, 8.1414 Å; angles 120.00, 90.00, 90.00 degrees
Positions (direct):
Mg 0.5000 0.6667 0.3333
Mg 0.2500 0.7061 0.7061
Mg 0.5000 0.3333 0.6667
Mg 0.7500 0.0000 0.7061
Mg 0.2500 0.2939 0.0000
Mg 0.0000 0.3333 0.6667
Mg 0.0000 0.6667 0.3333
Mg 0.7500 0.7061 0.0000
Mg 0.7500 0.2939 0.2939
Mg 0.2500 0.0000 0.2939
Zn 0.7500 0.0000 0.3711
Zn 0.7500 0.3711 0.0000
Zn 0.0000 0.0000 0.0000
Zn 0.2500 0.3711 0.3711
Zn 0.2500 0.6289 0.0000
Zn 0.2500 0.0000 0.6289
Zn 0.7500 0.6289 0.6289
Zn 0.5000 0.0000 0.0000

Results
formation energy: -23.2 meV/atom

***

CdMoAs: relaxed, GGA-PBEsol.

Cell lengths 4.5195, 4.5195, 4.5195 Å; angles 60.00, 60.00, 60.00 degrees
Positions (direct):
Cd 0.2500 0.2500 0.2500
As 0.5000 0.5000 0.5000
Mo 0.0000 0.0000 0.0000

Results
formation energy: 1267.9 meV/atom

***

NbAgIN2: relaxed, GGA-PBEsol.

Cell lengths 4.0245, 4.0245, 5.8737 Å; angles 90.00, 90.00, 90.00 degrees
Positions (direct):
I 0.0000 0.0000 0.5000
Nb 0.0000 0.0000 0.0000
N 0.5000 0.0000 0.0000
N 0.0000 0.5000 0.0000
Ag 0.5000 0.5000 0.5000

Results
formation energy without anion corrections: 381 meV/atom

***

LiY3Ni: relaxed, GGA-PBEsol.

Cell lengths 5.2244, 5.2244, 5.2244 Å; angles 90.00, 90.00, 90.00 degrees
Positions (direct):
Y 0.0000 0.5000 0.0000
Y 0.5000 0.0000 0.0000
Y 0.0000 0.0000 0.5000
Ni 0.0000 0.0000 0.0000
Li 0.5000 0.5000 0.5000

Results
formation energy: 30.2 meV/atom

***

| no. | total magnetization (μB per formula unit) | theoretical density (g/cm³) | total DFT energy (no corrections) (eV/f.u.) |
| --- | --- | --- | --- |
| 1 | 0.00 | 2.047 | -0.94 |
| 2 | 0.00 | 3.711 | -10.60 |
| 3 | 0.00 | 3.878 | -15.12 |
| 4 | 3.33 | 7.206 | -14.27 |
| 5 | 0.00 | 6.209 | -31.05 |
| 6 | 0.01 | 3.870 | -28.44 |